No. 1
Material: MgScRu2
Method: DFT, PBE
State: relaxed

a b c (Å): 5.451 5.451 4.398
angles (deg): 113.77 113.77 33.23
Fractional coordinates of all 4 atoms:
Mg  0.000  0.000  0.000
Sc  0.224  0.224  0.722
Ru  0.471  0.471  0.472
Ru  0.747  0.747  0.245

Calculated values
* space group: Cm (8)
* raw total energy: -6.84 eV/atom
* size of the total moment: 0.00 μB/f.u.

***

No. 2
Material: Mg2Sc2Ru
Method: DFT, PBE
State: relaxed

a b c (Å): 7.745 7.745 7.745
angles (deg): 151.89 151.89 40.18
Fractional coordinates of all 5 atoms:
Mg  0.087  0.087  0.000
Mg  0.913  0.913  0.000
Sc  0.250  0.750  0.500
Sc  0.750  0.250  0.500
Ru  0.500  0.500  0.000

Calculated values
* E above lowest polymorph: 929 meV/atom
* space group: I4/mmm (139)
* size of the total moment: 0.00 μB/f.u.

***

No. 3
Material: Mg2ScRu
Method: DFT, PBE
State: relaxed

a b c (Å): 5.664 5.664 3.060
angles (deg): 101.74 101.74 123.08
Fractional coordinates of all 4 atoms:
Mg  0.000  0.500  0.000
Mg  0.500  0.000  0.000
Sc  0.000  0.000  0.500
Ru  0.500  0.500  0.500

Calculated values
* space group: C2/m (12)
* raw total energy: -4.67 eV/atom
* size of the total moment: 0.33 μB/f.u.